16
Lattice="7.228 0.000 0.000 0.000 7.228 0.000 0.000 0.000 7.228" Properties=species:S:1:pos:R:3 comment="TbDyAlCr (GGA-PBE, optimized geometry)" formation_energy_ev_per_atom=-0.018 space_group="F-43m, No. 216" pbc="T T T"
Tb 0.000 0.000 0.000
Tb 0.000 3.614 3.614
Tb 3.614 0.000 3.614
Tb 3.614 3.614 0.000
Dy 0.000 0.000 3.614
Dy 0.000 3.614 0.000
Dy 3.614 0.000 0.000
Dy 3.614 3.614 3.614
Al 1.807 1.807 5.421
Al 1.807 5.421 1.807
Al 5.421 1.807 1.807
Al 5.421 5.421 5.421
Cr 1.807 1.807 1.807
Cr 1.807 5.421 5.421
Cr 5.421 1.807 5.421
Cr 5.421 5.421 1.807

***

12
Lattice="6.871 0.000 0.000 0.000 6.871 0.000 0.000 0.000 6.871" Properties=species:S:1:pos:R:3 comment="PmLuSi (GGA-PBE, optimized geometry)" space_group="F-43m, No. 216" e_tot_ev_per_cell=-64.0 pbc="T T T"
Pm 0.000 0.000 0.000
Pm 0.000 3.436 3.436
Pm 3.436 0.000 3.436
Pm 3.436 3.436 0.000
Lu 0.000 0.000 3.436
Lu 0.000 3.436 0.000
Lu 3.436 0.000 0.000
Lu 3.436 3.436 3.436
Si 1.718 1.718 5.154
Si 1.718 5.154 1.718
Si 5.154 1.718 1.718
Si 5.154 5.154 5.154

***

5
Lattice="4.608 0.000 0.000 0.000 4.608 0.000 0.000 0.000 4.608" Properties=species:S:1:pos:R:3 comment="LaW3S (GGA-PBE, optimized geometry)" space_group="Pm-3m, No. 221" e_tot_ev_per_cell=-44.3 pbc="T T T"
La 0.000 0.000 0.000
W 0.000 2.304 2.304
W 2.304 0.000 2.304
W 2.304 2.304 0.000
S 2.304 2.304 2.304

***

12
Lattice="13.377 0.000 0.000 0.000 5.070 0.000 -5.721 0.000 6.657" Properties=species:S:1:pos:R:3 comment="Ba2MgPb3 (GGA-PBE, optimized geometry)" formation_energy_ev_per_atom=-0.413 space_group="Cm, No. 8" pbc="T T T"
Ba 0.000 0.000 0.000
Ba -2.963 2.535 3.557
Ba 6.688 2.535 0.000
Ba 3.726 0.000 3.557
Mg 0.791 2.535 2.864
Mg 7.479 0.000 2.864
Pb 2.484 2.535 0.472
Pb -0.296 0.000 3.754
Pb 4.257 0.000 0.022
Pb 9.173 0.000 0.472
Pb 6.392 2.535 3.754
Pb 10.945 2.535 0.022

***

14
Lattice="-4.863 4.863 5.023 4.863 -4.863 5.023 4.863 4.863 -5.023" Properties=species:S:1:pos:R:3 comment="Tb8Pr5Mg (GGA-PBE, optimized geometry)" formation_energy_ev_per_atom=0.220 space_group="I-4, No. 82" pbc="T T T"
Tb 1.804 -0.840 2.465
Tb 3.059 5.703 -2.558
Tb 0.671 3.193 0.926
Tb 4.023 3.059 2.558
Tb -0.671 6.534 0.926
Tb -1.670 4.192 4.097
Tb 0.840 1.804 7.581
Tb 1.670 5.534 4.097
Pr 0.000 0.000 0.000
Pr 3.859 2.796 -0.807
Pr 2.067 -1.004 5.830
Pr 1.004 2.067 4.216
Pr 2.796 5.867 0.807
Mg 4.863 0.000 2.511

***

16
Lattice="6.543 0.000 0.000 0.000 6.543 0.000 0.000 0.000 6.543" Properties=species:S:1:pos:R:3 comment="PuScCoRe (GGA-PBE, optimized geometry)" formation_energy_ev_per_atom=-0.025 space_group="F-43m, No. 216" pbc="T T T"
Pu 0.000 0.000 0.000
Pu 0.000 3.271 3.271
Pu 3.271 0.000 3.271
Pu 3.271 3.271 0.000
Sc 0.000 0.000 3.271
Sc 0.000 3.271 0.000
Sc 3.271 0.000 0.000
Sc 3.271 3.271 3.271
Co 1.636 1.636 1.636
Co 1.636 4.907 4.907
Co 4.907 1.636 4.907
Co 4.907 4.907 1.636
Re 1.636 1.636 4.907
Re 1.636 4.907 1.636
Re 4.907 1.636 1.636
Re 4.907 4.907 4.907

***

6
Lattice="0.000 4.245 4.245 4.245 0.000 4.245 4.245 4.245 0.000" Properties=species:S:1:pos:R:3 comment="NdGdHg4 (GGA-PBE, optimized geometry)" formation_energy_ev_per_atom=-0.261 space_group="F-43m, No. 216" pbc="T T T"
Nd 0.000 0.000 0.000
Gd 6.368 6.368 6.368
Hg 3.184 3.184 3.184
Hg 5.307 5.307 3.184
Hg 5.307 3.184 5.307
Hg 3.184 5.307 5.307

***

5
Lattice="4.843 0.000 0.000 0.000 4.843 0.000 0.000 0.000 4.843" Properties=species:S:1:pos:R:3 comment="In3SnH (GGA-PBE, optimized geometry)" space_group="Pm-3m, No. 221" e_tot_ev_per_cell=-14.6 pbc="T T T"
In 0.000 0.000 2.421
In 0.000 2.421 0.000
In 2.421 0.000 0.000
Sn 2.421 2.421 2.421
H 0.000 0.000 0.000

***

10
Lattice="9.706 -2.334 0.000 9.706 2.334 0.000 -0.013 0.000 5.240" Properties=species:S:1:pos:R:3 comment="CeSnAu3 (GGA-PBE, optimized geometry)" formation_energy_ev_per_atom=-0.420 space_group="C2/m, No. 12" pbc="T T T"
Ce 2.058 0.000 0.006
Ce 17.342 0.000 5.234
Sn 7.162 0.000 2.751
Sn 12.238 0.000 2.489
Au 3.957 0.000 2.746
Au 5.633 0.000 0.186
Au 9.618 0.000 1.304
Au 9.782 0.000 3.936
Au 13.767 0.000 5.054
Au 15.443 0.000 2.494

***

15
Lattice="4.435 0.000 0.000 -2.218 3.841 0.000 0.000 0.000 14.041" Properties=species:S:1:pos:R:3 comment="Li2SnPd2 (GGA-PBE, optimized geometry)" formation_energy_ev_per_atom=-0.554 space_group="R-3m, No. 166" pbc="T T T"
Li 0.000 0.000 2.865
Li 0.000 0.000 11.175
Li 0.000 2.561 6.495
Li 0.000 2.561 12.226
Li 2.218 1.280 1.815
Li 2.218 1.280 7.546
Sn 0.000 0.000 0.000
Sn 0.000 2.561 9.361
Sn 2.218 1.280 4.680
Pd 0.000 0.000 5.601
Pd 0.000 0.000 8.439
Pd 0.000 2.561 0.921
Pd 0.000 2.561 3.759
Pd 2.218 1.280 10.282
Pd 2.218 1.280 13.120

***

8
Lattice="4.750 0.000 0.000 0.000 4.750 0.000 0.000 0.000 6.732" Properties=species:S:1:pos:R:3 comment="MgSc4Pd3 (GGA-PBE, optimized geometry)" formation_energy_ev_per_atom=-0.664 space_group="P4/mmm, No. 123" pbc="T T T"
Mg 0.000 0.000 0.000
Sc 0.000 2.375 1.759
Sc 0.000 2.375 4.973
Sc 2.375 0.000 1.759
Sc 2.375 0.000 4.973
Pd 0.000 0.000 3.366
Pd 2.375 2.375 0.000
Pd 2.375 2.375 3.366

***

4
Lattice="3.148 0.000 0.000 0.000 3.148 0.000 0.000 0.000 6.722" Properties=species:S:1:pos:R:3 comment="TaAl2Ag (GGA-PBE, optimized geometry)" formation_energy_ev_per_atom=0.055 space_group="P4mm, No. 99" pbc="T T T"
Ta 0.000 0.000 0.000
Al 0.000 0.000 3.446
Al 1.574 1.574 5.067
Ag 1.574 1.574 1.983